Entry 1:
{
  "formula": "Sr2PdPt2",
  "functional": "PBE",
  "state": "relaxed",
  "lattice_angstrom": [[-2.729, 3.710, -0.823], [1.923, 0.263, -5.190], [-2.945, -4.756, 1.626]],
  "species": ["Sr", "Sr", "Pd", "Pt", "Pt"],
  "fractional_positions": [[0.805, 0.305, 0.609], [0.195, 0.695, 0.391], [0.000, 0.000, 0.000], [0.500, 0.744, 0.000], [0.500, 0.256, 0.000]],
  "formation_energy_ev_per_fu": -3.9,
  "de_polymorph_kj_per_mol_fu": 0
}



Entry 2:
{
  "formula": "CaRe2Cl",
  "functional": "PBE",
  "state": "relaxed",
  "lattice_angstrom": [[6.230, -0.016, 0.000], [-4.229, 4.575, 0.000], [0.000, 0.000, 2.785]],
  "species": ["Re", "Re", "Ca", "Cl"],
  "fractional_positions": [[0.000, 0.000, 0.000], [0.500, 0.500, 0.000], [0.500, 0.000, 0.500], [0.000, 0.500, 0.500]],
  "e_form_raw_ev_per_atom": 0.833,
  "de_polymorph_kj_per_mol_fu": 374
}



Entry 3:
{
  "formula": "Sm10Ho4Er",
  "functional": "PBE",
  "state": "relaxed",
  "lattice_angstrom": [[7.044, 0.000, 3.181], [3.522, 8.658, 1.590], [-0.041, 0.000, 9.481]],
  "species": ["Sm", "Sm", "Sm", "Sm", "Sm", "Sm", "Sm", "Sm", "Sm", "Sm", "Ho", "Ho", "Ho", "Ho", "Er"],
  "fractional_positions": [[0.250, 0.500, 0.500], [0.651, 0.300, 0.899], [0.049, 0.101, 0.300], [0.450, 0.899, 0.700], [0.850, 0.700, 0.101], [0.349, 0.700, 0.101], [0.750, 0.500, 0.500], [0.150, 0.300, 0.899], [0.550, 0.101, 0.300], [0.951, 0.899, 0.700], [0.400, 0.801, 0.400], [0.799, 0.600, 0.801], [0.201, 0.400, 0.199], [0.600, 0.199, 0.600], [0.000, 0.000, 0.000]],
  "formation_energy_ev_per_fu": 10.6
}